Material: BaCa2Au
Method: DFT, PBE-GGA
State: relaxed

Summary:
The value obtained for the magnetization is 0.00 μB/f.u. The calculation puts the excess energy over the best structure of this formula in the dataset at 0.061 eV/atom. As for the formation energy: -0.373 eV per atom. The value obtained for the density of states at the Fermi level is 0.8797 states/eV per atom. The symmetry is Cm, No. 8.

Unit cell a=6.626 b=6.626 c=7.113 alpha=117.52 beta=117.52 gamma=35.41
Fractional coordinates of all 4 atoms:
Ba (0.000, 0.000, 0.000)
Ca (0.636, 0.636, 0.635)
Ca (0.825, 0.825, 0.335)
Au (0.277, 0.277, 0.988)

Material: La3Pr3Tl2Ga
Method: DFT, PBE-GGA
State: relaxed

Summary:
The value obtained for the magnetization is 0.00 μB/f.u. As for the formation energy: -0.320 eV per atom. The value obtained for the density of states at the Fermi level is 1.3410 states/eV per atom. The symmetry is P-62m, No. 189.

Unit cell a=9.184 b=9.184 c=3.936 alpha=90.00 beta=90.00 gamma=120.00
Fractional coordinates of all 9 atoms:
La (0.000, 0.612, 0.000)
La (0.388, 0.388, 0.000)
La (0.612, 0.000, 0.000)
Pr (0.000, 0.267, 0.500)
Pr (0.267, 0.000, 0.500)
Pr (0.733, 0.733, 0.500)
Tl (0.333, 0.667, 0.500)
Tl (0.667, 0.333, 0.500)
Ga (0.000, 0.000, 0.000)

Material: SiNiRh
Method: DFT, PBE-GGA
State: relaxed

Summary:
The value obtained for the magnetization is 0.00 μB/f.u. The uncorrected formation energy is -442 meV per atom. The value obtained for the density of states at the Fermi level is 0.8074 states/eV per atom. The symmetry is Amm2, No. 38.

Unit cell a=2.776 b=4.326 c=4.326 alpha=48.30 beta=90.00 gamma=90.00
Fractional coordinates of all 3 atoms:
Si (0.000, 0.000, 0.000)
Ni (0.500, 0.605, 0.605)
Rh (0.000, 0.306, 0.306)

Look up the magnetization of the second one.
0.00 μB/f.u.